Entry 1:
DFT (GGA-PBE) results for crystalline Sr2BiPtPb at its relaxed geometry.

CIF file:
```
data_Sr2BiPtPb
_chemical_formula_sum 'Sr2 Bi1 Pt1 Pb1'
_symmetry_space_group_name_H-M 'P 4/m m m'
_symmetry_Int_Tables_number 123
_symmetry_space_group_name_Hall '-P 4 2'
_cell_length_a 5.859
_cell_length_b 5.859
_cell_length_c 5.186
_cell_angle_alpha 90.00
_cell_angle_beta 90.00
_cell_angle_gamma 90.00
loop_
_atom_site_label
_atom_site_type_symbol
_atom_site_fract_x
_atom_site_fract_y
_atom_site_fract_z
Sr1 Sr 0.000 0.500 0.000
Bi1 Bi 0.000 0.000 0.500
Pt1 Pt 0.500 0.500 0.000
Pb1 Pb 0.500 0.500 0.500
```

Entry 2:
DFT (GGA-PBE) results for crystalline SrBiPtPb2 at its relaxed geometry.

CIF file:
```
data_SrBiPtPb2
_chemical_formula_sum 'Sr1 Bi1 Pt1 Pb2'
_symmetry_space_group_name_H-M 'P 4/m m m'
_symmetry_Int_Tables_number 123
_symmetry_space_group_name_Hall '-P 4 2'
_cell_length_a 5.413
_cell_length_b 5.413
_cell_length_c 5.732
_cell_angle_alpha 90.00
_cell_angle_beta 90.00
_cell_angle_gamma 90.00
loop_
_atom_site_label
_atom_site_type_symbol
_atom_site_fract_x
_atom_site_fract_y
_atom_site_fract_z
Sr1 Sr 0.000 0.000 0.000
Bi1 Bi 0.500 0.500 0.000
Pt1 Pt 0.000 0.000 0.500
Pb1 Pb 0.000 0.500 0.500
```

Entry 3:
DFT (GGA-PBE) results for crystalline TlBiPtPb at its relaxed geometry.

CIF file:
```
data_TlBiPtPb
_chemical_formula_sum 'Tl2 Bi2 Pt2 Pb2'
_symmetry_space_group_name_H-M 'C 1 m 1'
_symmetry_Int_Tables_number 8
_cell_length_a 7.465
_cell_length_b 4.311
_cell_length_c 7.878
_cell_angle_alpha 90.00
_cell_angle_beta 108.52
_cell_angle_gamma 90.00
loop_
_symmetry_equiv_pos_as_xyz
'x,y,z'
'x,-y,z'
'x+1/2,y+1/2,z'
'x+1/2,-y+1/2,z'
loop_
_atom_site_label
_atom_site_type_symbol
_atom_site_fract_x
_atom_site_fract_y
_atom_site_fract_z
Tl1 Tl 0.000 0.000 0.000
Bi1 Bi 0.444 0.000 0.336
Pt1 Pt 0.333 0.500 0.504
Pb1 Pb 0.228 0.000 0.687
```

Entry 4:
DFT (GGA-PBE) results for crystalline VBiPt2Pb at its relaxed geometry.

CIF file:
```
data_VBiPt2Pb
_chemical_formula_sum 'V1 Bi1 Pt2 Pb1'
_symmetry_space_group_name_H-M 'P 4/m m m'
_symmetry_Int_Tables_number 123
_symmetry_space_group_name_Hall '-P 4 2'
_cell_length_a 5.068
_cell_length_b 5.068
_cell_length_c 5.725
_cell_angle_alpha 90.00
_cell_angle_beta 90.00
_cell_angle_gamma 90.00
loop_
_atom_site_label
_atom_site_type_symbol
_atom_site_fract_x
_atom_site_fract_y
_atom_site_fract_z
V1 V 0.000 0.000 0.000
Bi1 Bi 0.500 0.500 0.500
Pt1 Pt 0.000 0.500 0.500
Pb1 Pb 0.500 0.500 0.000
```

Entry 5:
DFT (GGA-PBE) results for crystalline YBiPt2Pb at its relaxed geometry.

CIF file:
```
data_YBiPt2Pb
_chemical_formula_sum 'Y1 Bi1 Pt2 Pb1'
_symmetry_space_group_name_H-M 'P 4/m m m'
_symmetry_Int_Tables_number 123
_symmetry_space_group_name_Hall '-P 4 2'
_cell_length_a 5.184
_cell_length_b 5.184
_cell_length_c 5.830
_cell_angle_alpha 90.00
_cell_angle_beta 90.00
_cell_angle_gamma 90.00
loop_
_atom_site_label
_atom_site_type_symbol
_atom_site_fract_x
_atom_site_fract_y
_atom_site_fract_z
Y1 Y 0.000 0.000 0.000
Bi1 Bi 0.000 0.000 0.500
Pt1 Pt 0.000 0.500 0.000
Pb1 Pb 0.500 0.500 0.500
```

Entry 6:
DFT (GGA-PBE) results for crystalline YBiPtPb2 at its relaxed geometry.

CIF file:
```
data_YBiPtPb2
_chemical_formula_sum 'Y1 Bi1 Pt1 Pb2'
_symmetry_space_group_name_H-M 'P 4/m m m'
_symmetry_Int_Tables_number 123
_symmetry_space_group_name_Hall '-P 4 2'
_cell_length_a 5.802
_cell_length_b 5.802
_cell_length_c 5.741
_cell_angle_alpha 90.00
_cell_angle_beta 90.00
_cell_angle_gamma 90.00
loop_
_atom_site_label
_atom_site_type_symbol
_atom_site_fract_x
_atom_site_fract_y
_atom_site_fract_z
Y1 Y 0.000 0.000 0.000
Bi1 Bi 0.000 0.000 0.500
Pt1 Pt 0.500 0.500 0.500
Pb1 Pb 0.000 0.500 0.000
```

Entry 7:
DFT (GGA-PBE) results for crystalline PuBi2Pb at its relaxed geometry.

Values from the calculation:
For the energy above the most stable polymorph in this dataset, the calculation gives 4.2 kJ per mole of atoms.

CIF file:
```
data_PuBi2Pb
_chemical_formula_sum 'Pu2 Bi4 Pb2'
_symmetry_space_group_name_H-M 'I 4/m m m'
_symmetry_Int_Tables_number 139
_symmetry_space_group_name_Hall '-I 4 2'
_cell_length_a 4.860
_cell_length_b 4.860
_cell_length_c 10.122
_cell_angle_alpha 90.00
_cell_angle_beta 90.00
_cell_angle_gamma 90.00
loop_
_atom_site_label
_atom_site_type_symbol
_atom_site_fract_x
_atom_site_fract_y
_atom_site_fract_z
Pu1 Pu 0.000 0.000 0.000
Bi1 Bi 0.000 0.500 0.250
Pb1 Pb 0.000 0.000 0.500
```

Entry 8:
DFT (GGA-PBE) results for crystalline Pu3Bi2Pb at its relaxed geometry.

CIF file:
```
data_Pu3Bi2Pb
_chemical_formula_sum 'Pu3 Bi2 Pb1'
_symmetry_space_group_name_H-M 'P 4/m m m'
_symmetry_Int_Tables_number 123
_symmetry_space_group_name_Hall '-P 4 2'
_cell_length_a 4.080
_cell_length_b 4.080
_cell_length_c 10.406
_cell_angle_alpha 90.00
_cell_angle_beta 90.00
_cell_angle_gamma 90.00
loop_
_atom_site_label
_atom_site_type_symbol
_atom_site_fract_x
_atom_site_fract_y
_atom_site_fract_z
Pu1 Pu 0.000 0.000 0.000
Pu2 Pu 0.000 0.000 0.333
Bi1 Bi 0.500 0.500 0.170
Pb1 Pb 0.500 0.500 0.500
```

Entry 9:
DFT (GGA-PBE) results for crystalline PuBi2Pb at its relaxed geometry.

Values from the calculation:
For the energy above the most stable polymorph in this dataset, the calculation gives 12.8 kJ per mole of atoms.

CIF file:
```
data_PuBi2Pb
_chemical_formula_sum 'Pu4 Bi8 Pb4'
_symmetry_space_group_name_H-M 'F m -3 m'
_symmetry_Int_Tables_number 225
_symmetry_space_group_name_Hall '-F 4 2 3'
_cell_length_a 7.938
_cell_length_b 7.938
_cell_length_c 7.938
_cell_angle_alpha 90.00
_cell_angle_beta 90.00
_cell_angle_gamma 90.00
loop_
_atom_site_label
_atom_site_type_symbol
_atom_site_fract_x
_atom_site_fract_y
_atom_site_fract_z
Pu1 Pu 0.000 0.000 0.000
Bi1 Bi 0.250 0.250 0.250
Pb1 Pb 0.000 0.000 0.500
```

Entry 10:
DFT (GGA-PBE) results for crystalline PuBiPb2 at its relaxed geometry.

Values from the calculation:
For the energy above the most stable polymorph in this dataset, the calculation gives 7.2 kJ per mole of atoms.

CIF file:
```
data_PuBiPb2
_chemical_formula_sum 'Pu1 Bi1 Pb2'
_symmetry_space_group_name_H-M 'P 1 2/m 1'
_symmetry_Int_Tables_number 10
_cell_length_a 5.975
_cell_length_b 3.501
_cell_length_c 5.986
_cell_angle_alpha 90.00
_cell_angle_beta 107.94
_cell_angle_gamma 90.00
loop_
_symmetry_equiv_pos_as_xyz
'x,y,z'
'-x,-y,-z'
'-x,y,-z'
'x,-y,z'
loop_
_atom_site_label
_atom_site_type_symbol
_atom_site_fract_x
_atom_site_fract_y
_atom_site_fract_z
Pu1 Pu 0.000 0.000 0.000
Bi1 Bi 0.500 0.500 0.000
Pb1 Pb 0.000 0.500 0.500
Pb2 Pb 0.500 0.000 0.500
```

Entry 11:
DFT (GGA-PBE) results for crystalline PuBi2Pb at its relaxed geometry.

Values from the calculation:
For the energy above the most stable polymorph in this dataset, the calculation gives 17.2 kJ per mole of atoms.

CIF file:
```
data_PuBi2Pb
_chemical_formula_sum 'Pu3 Bi6 Pb3'
_symmetry_space_group_name_H-M 'R -3 m'
_symmetry_Int_Tables_number 166
_symmetry_space_group_name_Hall '-R 3 2"'
_cell_length_a 4.6102
_cell_length_b 4.6102
_cell_length_c 22.7420
_cell_angle_alpha 90.00
_cell_angle_beta 90.00
_cell_angle_gamma 120.00
loop_
_atom_site_label
_atom_site_type_symbol
_atom_site_fract_x
_atom_site_fract_y
_atom_site_fract_z
Pu1 Pu 0.0000 0.0000 0.0000
Bi1 Bi 0.0000 0.0000 0.2563
Pb1 Pb 0.0000 0.0000 0.5000
```

Entry 12:
DFT (GGA-PBE) results for crystalline Pu4Bi12Pb at its relaxed geometry.

CIF file:
```
data_Pu4Bi12Pb
_chemical_formula_sum 'Pu8 Bi24 Pb2'
_symmetry_space_group_name_H-M 'C 1 2/m 1'
_symmetry_Int_Tables_number 12
_cell_length_a 9.179
_cell_length_b 13.721
_cell_length_c 9.285
_cell_angle_alpha 90.00
_cell_angle_beta 108.84
_cell_angle_gamma 90.00
loop_
_symmetry_equiv_pos_as_xyz
'x,y,z'
'-x,-y,-z'
'-x,y,-z'
'x,-y,z'
'x+1/2,y+1/2,z'
'-x+1/2,-y+1/2,-z'
'-x+1/2,y+1/2,-z'
'x+1/2,-y+1/2,z'
loop_
_atom_site_label
_atom_site_type_symbol
_atom_site_fract_x
_atom_site_fract_y
_atom_site_fract_z
Pu1 Pu 0.000 0.000 0.000
Pu2 Pu 0.000 0.500 0.000
Pu3 Pu 0.250 0.250 0.500
Bi1 Bi 0.000 0.249 0.000
Bi2 Bi 0.138 0.000 0.420
Bi3 Bi 0.173 0.371 0.788
Bi4 Bi 0.178 0.125 0.774
Pb1 Pb 0.000 0.500 0.500
```

The formation energy from the elements results, record by record, are as follows: -0.57 -0.28 -0.13 1.50 0.45 0.94 -0.17 -0.24 -0.08 -0.11 -0.04 -0.06 eV per atom.
The size of the total moment results, record by record, are as follows: 0.00 0.00 0.00 0.30 0.00 0.00 5.93 6.30 5.77 5.93 4.91 22.48 μB per formula unit.
The DOS(E_F) results, record by record, are as follows: 2.500 3.010 3.219 7.302 3.372 5.258 24.810 33.523 68.315 10.466 48.098 107.527 states/eV/cell.